(1)
Below is KMgTc2 after structural relaxation, with properties calculated at the PBEsol level.

The space group is I4/mmm (No. 139) and the conventional cell measures 3.784, 3.784 and 9.956 Å, with angles of 90.00, 90.00 and 90.00 degrees. The inequivalent atoms are K at (0.000, 0.000, 0.000), Mg at (0.000, 0.000, 0.500) and Tc at (0.000, 0.500, 0.250).

The crystal system is tetragonal. Its calculated formation energy is 1303 meV/atom.

(2)
Below is KMgTc2 after structural relaxation, with properties calculated at the PBEsol level.

The space group is P4/mmm (No. 123) and the conventional cell measures 3.776, 3.776 and 4.998 Å, with angles of 90.00, 90.00 and 90.00 degrees. The inequivalent atoms are K at (0.000, 0.000, 0.000), Mg at (0.500, 0.500, 0.000) and Tc at (0.000, 0.500, 0.500).

The crystal system is tetragonal. Its calculated formation energy is 1293 meV/atom.

(3)
Below is KMgTe2 after structural relaxation, with properties calculated at the PBEsol level.

The space group is P4mm (No. 99) and the conventional cell measures 3.901, 3.901 and 9.125 Å, with angles of 90.00, 90.00 and 90.00 degrees. The inequivalent atoms are K at (0.000, 0.000, 0.000), Mg at (0.500, 0.500, 0.471), Te at (0.000, 0.000, 0.371) and Te at (0.500, 0.500, 0.776).

As for the uncorrected formation energy: -2.443 eV/f.u. The crystal system is tetragonal.

(4)
Below is KMgTe after structural relaxation, with properties calculated at the PBEsol level.

The space group is P3m1 (No. 156) and the conventional cell measures 4.5496, 4.5496 and 6.3596 Å, with angles of 90.00, 90.00 and 120.00 degrees. The inequivalent atoms are K at (0.0000, 0.0000, 0.0000), Mg at (0.3333, 0.6667, 0.5415) and Te at (0.6667, 0.3333, 0.3729).

As for the uncorrected formation energy: -1.561 eV/f.u. The crystal system is trigonal.

(5)
Below is KMgTe2 after structural relaxation, with properties calculated at the PBEsol level.

The space group is I-42d (No. 122) and the conventional cell measures 6.614, 6.614 and 15.921 Å, with angles of 90.00, 90.00 and 90.00 degrees. The inequivalent atoms are K at (0.000, 0.000, 0.000), Mg at (0.000, 0.000, 0.500) and Te at (0.134, 0.250, 0.625).

As for the uncorrected formation energy: -2.148 eV/f.u. The crystal system is tetragonal.

(6)
Below is K2MgTe after structural relaxation, with properties calculated at the PBEsol level.

The space group is Imm2 (No. 44) and the conventional cell measures 4.261, 5.613 and 13.035 Å, with angles of 90.00, 90.00 and 90.00 degrees. The inequivalent atoms are K at (0.000, 0.000, 0.000), K at (0.000, 0.500, 0.183), Mg at (0.000, 0.500, 0.800) and Te at (0.000, 0.000, 0.454).

As for the uncorrected formation energy: -1.902 eV/f.u. The crystal system is orthorhombic.

(7)
Below is KMgTl2 after structural relaxation, with properties calculated at the PBEsol level.

The space group is P4mm (No. 99) and the conventional cell measures 3.921, 3.921 and 8.165 Å, with angles of 90.00, 90.00 and 90.00 degrees. The inequivalent atoms are K at (0.000, 0.000, 0.000), Mg at (0.500, 0.500, 0.334), Tl at (0.000, 0.000, 0.488) and Tl at (0.500, 0.500, 0.716).

The crystal system is tetragonal. Its calculated formation energy is -12 meV/atom.

(8)
Below is K2MgTl after structural relaxation, with properties calculated at the PBEsol level.

The space group is P4mm (No. 99) and the conventional cell measures 4.042, 4.042 and 10.222 Å, with angles of 90.00, 90.00 and 90.00 degrees. The inequivalent atoms are K at (0.000, 0.000, 0.000), K at (0.500, 0.500, 0.387), Mg at (0.000, 0.000, 0.650) and Tl at (0.500, 0.500, 0.750).

The crystal system is tetragonal. Its calculated formation energy is 11 meV/atom.

| no. | E (eV/atom) | N(E_F) (states/eV/cell) |
| --- | --- | --- |
| 1 | -5.042 | 4.6 |
| 2 | -5.052 | 2.4 |
| 3 | -3.086 | 1.7 |
| 4 | -2.646 | 1.2 |
| 5 | -3.013 | 13.4 |
| 6 | -2.353 | 1.1 |
| 7 | -2.040 | 1.9 |
| 8 | -1.642 | 2.5 |